This record from Alexandria via LeMat-Bulk describes an optimized crystal structure of CrP2Rh. The functional is PBE-GGA.

Properties
energy of formation	-1.6	eV per formula unit
M_tot	0.0	μB per formula unit
energy relative to the lowest polymorph listed for this composition	0.00	kJ/mol of atoms
total DFT energy (no corrections)	-29.35	eV for the cell shown

abc: 4.2242 4.2242 4.6087
angles: 76.30 76.30 41.84
With the nearest neighbours (Å) after each atom.
Fractional coordinates of all 4 atoms:
Cr (0.2706, 0.2706, 0.1136)  5 P 2.23-2.35
P (0.9867, 0.9867, 0.1247)  3 Cr 2.23-2.29, 2 Rh 2.41
P (0.7468, 0.7468, 0.7341)  2 Cr 2.35, 3 Rh 2.40-2.47
Rh (0.4959, 0.4959, 0.5277)  5 P 2.40-2.47

This record from Alexandria via LeMat-Bulk describes an optimized crystal structure of YBeCo2. The functional is PBE-GGA.

Properties
energy of formation	0.7	eV per formula unit
M_tot	1.4	μB per formula unit
total DFT energy (no corrections)	-23.70	eV for the cell shown

abc: 5.0167 5.0167 5.0167
angles: 143.38 130.42 63.19
With the nearest neighbours (Å) after each atom.
Fractional coordinates of all 4 atoms:
Y (0.4987, 0.4987, 0.0000)  8 Co 2.63-2.87, 4 Be 2.82-2.87
Be (0.2178, 0.7178, 0.5000)  2 Co 2.36
Co (0.0127, 0.0127, 0.0000)  2 Be 2.36, 2 Co 2.60, 4 Y 2.63
Co (0.7709, 0.2709, 0.5000)  2 Co 2.60, 4 Be 2.67, 4 Y 2.81-2.87

This record from Alexandria via LeMat-Bulk describes an optimized crystal structure of PrRh6. The functional is PBE-GGA.

Properties
energy of formation	-1.2	eV per formula unit
M_tot	0.0	μB per formula unit
energy relative to the lowest polymorph listed for this composition	0.00	kJ/mol of atoms
total DFT energy (no corrections)	-200.50	eV for the cell shown

abc: 5.2618 8.5370 10.5300
angles: 90.00 90.00 90.00
With the nearest neighbours (Å) after each atom.
Fractional coordinates of all 28 atoms:
Pr (0.7500, 0.2418, 0.9397)  10 Rh 2.95-3.28
Pr (0.2500, 0.7582, 0.0603)  10 Rh 2.95-3.28
Pr (0.7500, 0.7418, 0.5603)  10 Rh 2.95-3.28
Pr (0.2500, 0.2582, 0.4397)  10 Rh 2.95-3.28
Rh (0.7500, 0.6092, 0.0187)  7 Rh 2.61-2.89
Rh (0.2500, 0.3908, 0.9813)  7 Rh 2.61-2.89
Rh (0.7500, 0.1092, 0.4813)  7 Rh 2.61-2.89
Rh (0.2500, 0.8908, 0.5187)  7 Rh 2.61-2.89
Rh (0.0055, 0.4385, 0.1935)  9 Rh 2.57-2.80
Rh (0.5055, 0.5615, 0.8065)  9 Rh 2.57-2.80
Rh (0.4945, 0.9385, 0.3065)  9 Rh 2.57-2.80
Rh (0.9945, 0.0615, 0.6935)  9 Rh 2.57-2.80
Rh (0.9945, 0.5615, 0.8065)  9 Rh 2.57-2.80
Rh (0.4945, 0.4385, 0.1935)  9 Rh 2.57-2.80
Rh (0.5055, 0.0615, 0.6935)  9 Rh 2.57-2.80
Rh (0.0055, 0.9385, 0.3065)  9 Rh 2.57-2.80
Rh (0.2500, 0.1515, 0.1550)  8 Rh 2.64-2.80
Rh (0.7500, 0.8485, 0.8450)  8 Rh 2.64-2.80
Rh (0.2500, 0.6515, 0.3450)  8 Rh 2.64-2.80
Rh (0.7500, 0.3485, 0.6550)  8 Rh 2.64-2.80
Rh (0.2500, 0.8166, 0.7653)  9 Rh 2.60-2.89
Rh (0.7500, 0.1834, 0.2347)  9 Rh 2.60-2.89
Rh (0.2500, 0.3166, 0.7347)  9 Rh 2.60-2.89
Rh (0.7500, 0.6834, 0.2653)  9 Rh 2.60-2.89
Rh (0.2500, 0.5617, 0.5846)  6 Rh 2.62-2.89
Rh (0.7500, 0.4383, 0.4154)  6 Rh 2.62-2.89
Rh (0.2500, 0.0617, 0.9154)  6 Rh 2.62-2.89
Rh (0.7500, 0.9383, 0.0846)  6 Rh 2.62-2.89

This record from Alexandria via LeMat-Bulk describes an optimized crystal structure of K2BeCo. The functional is PBE-GGA.

Properties
energy of formation	5.0	eV per formula unit
M_tot	1.2	μB per formula unit
total DFT energy (no corrections)	-7.99	eV for the cell shown

abc: 4.3453 4.5067 5.6245
angles: 90.00 90.00 90.00
With the nearest neighbours (Å) after each atom.
Fractional coordinates of all 4 atoms:
Be (0.5000, 0.5000, 0.2500)  2 Co 2.81
K (0.0000, 0.0000, 0.9989)  2 K 2.80-2.82
K (0.0000, 0.0000, 0.5011)  2 K 2.80-2.82
Co (0.5000, 0.5000, 0.7500)  2 Be 2.81

- What is the total DFT energy (no corrections) in the first record?
  -29.35 eV for the cell shown

- What is the M_tot in the third record?
  0.0 μB per formula unit

- energy of formation of number 2 (YBeCo2)?
  0.7 eV per formula unit

- Which value of M_tot does entry 3 give?
  0.0 μB per formula unit